# 1
## CrCdPt6 (PBE)

Data for a relaxed CrCdPt6 crystal.

```
CrCdPt6
1.0
3.972 0.000 0.000
0.000 3.972 0.000
0.000 0.000 7.972
Cr Cd Pt
1 1 6
Direct
0.000 0.000 0.000 Cr
0.000 0.000 0.500 Cd
0.000 0.500 0.236 Pt
0.000 0.500 0.764 Pt
0.500 0.000 0.236 Pt
0.500 0.000 0.764 Pt
0.500 0.500 0.000 Pt
0.500 0.500 0.500 Pt
```

Calculated values
Space group: P4/mmm, No. 123
Total magnetization, μB/cell: 1.82
ΔH_f (0 K), eV/f.u.: -1.9
Electronic total energy, eV per cell: -48.70


# 2
## CrCd4Pt15 (PBE)

Data for a relaxed CrCd4Pt15 crystal.

```
CrCd4Pt15
1.0
3.997 0.000 0.000
0.000 3.997 0.000
0.000 0.000 20.257
Cr Cd Pt
1 4 15
Direct
0.000 0.000 0.000 Cr
0.000 0.000 0.196 Cd
0.000 0.000 0.398 Cd
0.000 0.000 0.602 Cd
0.000 0.000 0.804 Cd
0.000 0.500 0.092 Pt
0.000 0.500 0.297 Pt
0.000 0.500 0.500 Pt
0.000 0.500 0.703 Pt
0.000 0.500 0.908 Pt
0.500 0.000 0.092 Pt
0.500 0.000 0.297 Pt
0.500 0.000 0.500 Pt
0.500 0.000 0.703 Pt
0.500 0.000 0.908 Pt
0.500 0.500 0.000 Pt
0.500 0.500 0.195 Pt
0.500 0.500 0.399 Pt
0.500 0.500 0.601 Pt
0.500 0.500 0.805 Pt
```

Calculated values
Space group: P4/mmm, No. 123
Total magnetization, μB/cell: 1.93
ΔH_f (0 K), eV/f.u.: -4.1
Electronic total energy, eV per cell: -108.04


# 3
## CrCd2Pt (PBE)

Data for a relaxed CrCd2Pt crystal.

```
CrCd2Pt
1.0
4.807 -1.568 0.000
4.807 1.568 0.000
-1.058 0.000 4.760
Cr Cd Pt
1 2 1
Direct
0.000 0.000 0.000 Cr
0.248 0.248 0.747 Cd
0.752 0.752 0.253 Cd
0.500 0.500 0.500 Pt
```

Calculated values
Space group: C2/m, No. 12
Total magnetization, μB/cell: 3.85
ΔH_f (0 K), eV/f.u.: 0.2
Electronic total energy, eV per cell: -17.26


# 4
## CrCd2Pt (PBE)

Data for a relaxed CrCd2Pt crystal.

```
CrCd2Pt
1.0
4.142 0.000 0.000
0.000 4.142 0.000
0.000 0.000 4.186
Cr Cd Pt
1 2 1
Direct
0.000 0.000 0.000 Cr
0.000 0.500 0.500 Cd
0.500 0.000 0.500 Cd
0.500 0.500 0.000 Pt
```

Calculated values
Space group: P4/mmm, No. 123
Total magnetization, μB/cell: 4.15
ΔH_f (0 K), eV/f.u.: 0.0
Electronic total energy, eV per cell: -17.50


# 5
## CrCd2Pt (PBE)

Data for a relaxed CrCd2Pt crystal.

```
CrCd2Pt
1.0
3.051 0.000 0.000
0.000 4.014 0.000
0.000 0.000 5.881
Cr Cd Pt
1 2 1
Direct
0.000 0.000 0.000 Cr
0.500 0.500 0.253 Cd
0.500 0.500 0.747 Cd
0.000 0.000 0.500 Pt
```

Calculated values
Space group: Pmmm, No. 47
Total magnetization, μB/cell: 4.19
ΔH_f (0 K), eV/f.u.: 0.1
Electronic total energy, eV per cell: -17.36


# 6
## Cr4CdPt (PBE)

Data for a relaxed Cr4CdPt crystal.

```
Cr4CdPt
1.0
0.000 3.439 3.439
3.439 0.000 3.439
3.439 3.439 0.000
Cr Cd Pt
4 1 1
Direct
0.378 0.378 0.378 Cr
0.378 0.378 0.867 Cr
0.378 0.867 0.378 Cr
0.867 0.378 0.378 Cr
0.750 0.750 0.750 Cd
0.000 0.000 0.000 Pt
```

Calculated values
Space group: F-43m, No. 216
Total magnetization, μB/cell: 0.00
ΔH_f (0 K), eV/f.u.: 1.3
Electronic total energy, eV per cell: -44.12


# 7
## CrCd2Pt (PBE)

Data for a relaxed CrCd2Pt crystal.

```
CrCd2Pt
1.0
4.893 -1.504 0.000
4.893 1.504 0.000
-1.088 0.000 4.913
Cr Cd Pt
1 2 1
Direct
0.000 0.000 0.000 Cr
0.523 0.523 0.523 Cd
0.755 0.755 0.247 Cd
0.276 0.276 0.768 Pt
```

Calculated values
Space group: Cm, No. 8
Total magnetization, μB/cell: 3.97
ΔH_f (0 K), eV/f.u.: 0.2
Electronic total energy, eV per cell: -17.26


# 8
## CrCdPt4 (PBE)

Data for a relaxed CrCdPt4 crystal.

```
CrCdPt4
1.0
0.000 3.746 3.746
3.746 0.000 3.746
3.746 3.746 0.000
Cr Cd Pt
1 1 4
Direct
0.000 0.000 0.000 Cr
0.250 0.250 0.250 Cd
0.125 0.625 0.625 Pt
0.625 0.125 0.625 Pt
0.625 0.625 0.125 Pt
0.625 0.625 0.625 Pt
```

Calculated values
Space group: F-43m, No. 216
Total magnetization, μB/cell: 3.92
ΔH_f (0 K), eV/f.u.: -0.4
Electronic total energy, eV per cell: -35.07